Computed, not measured: a relaxed structure of ZrVNi3 at the PBE level of DFT.

* SG: P6_3/mmc (194)
* DFT total energy: -70.6 eV for the cell shown

```
ZrVNi3
1.0
5.8100 0.0000 0.0000
-2.9050 5.0316 0.0000
0.0000 0.0000 4.9307
Zr V Ni
2 2 6
direct
0.3333 0.6667 0.2500
0.6667 0.3333 0.7500
0.0000 0.0000 0.0000
0.0000 0.0000 0.5000
0.1993 0.3986 0.7500
0.1993 0.8007 0.7500
0.3986 0.1993 0.2500
0.6014 0.8007 0.7500
0.8007 0.1993 0.2500
0.8007 0.6014 0.2500
```